1.
## MgTe2Se2 (PBE)

Data for a geometry-optimized MgTe2Se2 structure.

abc: 3.851 3.851 9.666
angles: 78.51 78.51 90.00
Positions (direct):
Te (0.578, 0.578, 0.844)
Te (0.422, 0.422, 0.156)
Se (0.750, 0.250, 0.500)
Se (0.250, 0.750, 0.500)
Mg (0.000, 0.000, 0.000)

Summary:
**Relative energy among the computed polymorphs**: 0.030 eV/atom
**Electronic total energy**: -3.05 eV per atom
**Formation energy without anion corrections**: -0.08 eV/atom
**Density of states at the Fermi level**: 0.76 states/eV/atom
**Space group**: I4/mmm, No. 139

2.
## MgTe2Se (PBE)

Data for a geometry-optimized MgTe2Se structure.

abc: 8.630 4.066 4.066
angles: 90.00 90.00 90.00
Positions (direct):
Mg (0.500, 0.500, 0.000)
Te (0.000, 0.000, 0.000)
Te (0.000, 0.500, 0.500)
Se (0.500, 0.000, 0.500)

Summary:
**Electronic total energy**: -3.03 eV per atom
**Formation energy without anion corrections**: -0.19 eV/atom
**Density of states at the Fermi level**: 0.55 states/eV/atom
**Space group**: P4/mmm, No. 123

3.
## Mg3TeSe (PBE)

Data for a geometry-optimized Mg3TeSe structure.

abc: 5.493 5.493 5.493
angles: 90.00 90.00 90.00
Positions (direct):
Mg (0.500, 0.000, 0.000)
Mg (0.000, 0.000, 0.500)
Mg (0.000, 0.500, 0.000)
Se (0.500, 0.500, 0.500)
Te (0.000, 0.000, 0.000)

Summary:
**Relative energy among the computed polymorphs**: 0.387 eV/atom
**Electronic total energy**: -2.15 eV per atom
**Formation energy without anion corrections**: 0.13 eV/atom
**Density of states at the Fermi level**: 0.49 states/eV/atom
**Space group**: Pm-3m, No. 221

4.
## Mg2TeSe (PBE)

Data for a geometry-optimized Mg2TeSe structure.

abc: 7.048 7.048 7.048
angles: 33.53 33.53 33.53
Positions (direct):
Te (0.750, 0.750, 0.750)
Mg (0.994, 0.994, 0.994)
Mg (0.506, 0.506, 0.506)
Se (0.250, 0.250, 0.250)

Summary:
**Relative energy among the computed polymorphs**: 0.060 eV/atom
**Electronic total energy**: -3.45 eV per atom
**Formation energy without anion corrections**: -1.00 eV/atom
**Density of states at the Fermi level**: 0.01 states/eV/atom
**Space group**: R-3m, No. 166

5.
## MgTe2Se (PBE)

Data for a geometry-optimized MgTe2Se structure.

abc: 4.289 5.264 5.260
angles: 68.49 90.00 90.00
Positions (direct):
Te (0.000, 0.482, 0.482)
Te (0.000, 0.018, 0.018)
Mg (0.500, 0.250, 0.250)
Se (0.500, 0.750, 0.750)

Summary:
**Electronic total energy**: -3.06 eV per atom
**Formation energy without anion corrections**: -0.22 eV/atom
**Density of states at the Fermi level**: 0.72 states/eV/atom
**Space group**: Cmmm, No. 65

6.
## Mg2TeSe (PBE)

Data for a geometry-optimized Mg2TeSe structure.

abc: 5.079 5.079 5.079
angles: 60.00 60.00 60.00
Positions (direct):
Mg (0.250, 0.250, 0.250)
Mg (0.750, 0.750, 0.750)
Te (0.500, 0.500, 0.500)
Se (0.000, 0.000, 0.000)

Summary:
**Relative energy among the computed polymorphs**: 0.579 eV/atom
**Electronic total energy**: -2.93 eV per atom
**Formation energy without anion corrections**: -0.48 eV/atom
**Density of states at the Fermi level**: 0.41 states/eV/atom
**Space group**: Fm-3m, No. 225